--- 1 ---
NaSe2IN | GGA-PBE | relaxed

Summary:
Its space group is P4/mmm (123).

Structure (POSCAR):
```
NaSe2IN
1.0
5.6302 0.0000 0.0000
0.0000 5.6302 0.0000
0.0000 0.0000 4.0218
Na Se I N
1 2 1 1
Cartesian
0.0000 0.0000 0.0000
0.0000 2.8151 2.0109
2.8151 0.0000 2.0109
2.8151 2.8151 2.0109
2.8151 2.8151 0.0000
```



--- 2 ---
NaSe2IN | GGA-PBE | relaxed

Summary:
Its space group is P4/mmm (123).

Structure (POSCAR):
```
NaSe2IN
1.0
5.4053 0.0000 0.0000
0.0000 5.4053 0.0000
0.0000 0.0000 4.4240
Na Se I N
1 2 1 1
Cartesian
0.0000 0.0000 0.0000
0.0000 2.7027 0.0000
2.7027 0.0000 0.0000
2.7027 2.7027 2.2120
0.0000 0.0000 2.2120
```



Of them, 2 has the lowest stability.